Entry i
The following is a DFT calculation (PBE) of crystalline Dy6YTl at its relaxed geometry.

Geometry as POSCAR:
```
Dy6YTl
1.0
4.8983 0.0000 0.0000
0.0000 4.8983 0.0000
0.0000 0.0000 10.0687
Dy Y Tl
6 1 1
Cartesian
0.0000 0.0000 0.0000
0.0000 0.0000 5.0344
0.0000 2.4492 2.4648
0.0000 2.4492 7.6039
2.4492 0.0000 2.4648
2.4492 0.0000 7.6039
2.4492 2.4492 5.0344
2.4492 2.4492 0.0000
```

Results
calculated density = 8.718 Mg/m³
magnetic moment = 0.000 μB/f.u.

***

Entry ii
The following is a DFT calculation (PBE) of crystalline Dy6YTl at its relaxed geometry.

Geometry as POSCAR:
```
Dy6YTl
1.0
4.6141 2.6639 3.3857
-4.6141 2.6639 3.3857
0.0000 -5.3279 3.3857
Dy Y Tl
6 1 1
Cartesian
-2.3438 -2.4936 4.5320
-3.3314 0.7830 5.6252
0.9876 -3.2766 5.6252
-0.9876 3.2766 4.5320
3.3314 -0.7830 4.5320
2.3438 2.4936 5.6252
0.0000 0.0000 5.0786
0.0000 0.0000 0.0000
```

Results
calculated density = 8.434 Mg/m³
magnetic moment = 0.001 μB/f.u.

***

Relative energies with respect to the most stable structure, expressed in meV per atom: entry i 0; entry ii 95.

***

Entry i
The following is a DFT calculation (PBE) of crystalline Dy3YTl3 at its relaxed geometry.

Geometry as POSCAR:
```
Dy3YTl3
1.0
9.4133 0.0000 0.0000
-4.7067 8.1522 0.0000
0.0000 0.0000 5.2239
Dy Y Tl
6 2 6
Cartesian
-1.0878 1.9092 1.3060
-2.5093 8.1396 1.3060
1.1095 1.8967 3.9179
3.5971 6.2555 1.3060
7.2160 0.0126 3.9179
5.7944 6.2430 3.9179
0.0000 5.4348 1.3060
4.7067 2.7174 3.9179
-1.4397 3.6672 3.9179
-0.8109 7.5654 3.9179
2.4560 3.0804 1.3060
2.2506 5.0717 3.9179
5.5176 0.5868 1.3060
6.1464 4.4850 1.3060
```

Results
calculated density = 9.855 Mg/m³
magnetic moment = 0.000 μB/f.u.

***

Entry ii
The following is a DFT calculation (PBE) of crystalline Dy3YTl3 at its relaxed geometry.

Geometry as POSCAR:
```
Dy3YTl3
1.0
9.3380 0.0000 0.0000
0.0000 9.3380 0.0000
0.0000 0.0000 9.3380
Dy Y Tl
12 4 12
Cartesian
0.6874 3.9817 5.3564
1.6491 1.6491 1.6491
1.6499 7.6881 3.0191
3.0191 1.6499 7.6881
3.0199 7.6889 6.3181
3.9817 5.3564 0.6874
5.3564 0.6874 3.9817
6.3181 3.0199 7.6889
6.3189 6.3189 6.3189
7.6881 3.0191 1.6499
7.6889 6.3181 3.0199
8.6507 8.6507 8.6507
0.6774 5.3464 8.6606
3.9916 3.9916 3.9916
5.3464 8.6606 0.6774
8.6606 0.6774 5.3464
9.3354 2.3253 8.1660
0.0026 6.9943 5.8410
1.1720 4.6664 2.3437
2.3253 8.1660 9.3354
2.3437 1.1720 4.6664
3.4970 4.6716 7.0127
4.6664 2.3437 1.1720
4.6716 7.0127 3.4970
5.8410 0.0026 6.9943
6.9943 5.8410 0.0026
7.0127 3.4970 4.6716
8.1660 9.3354 2.3253
```

Results
calculated density = 9.704 Mg/m³
magnetic moment = 0.000 μB/f.u.

***

Relative energies with respect to the most stable structure, expressed in meV per atom: entry i 30; entry ii 0.

***

Entry i
The following is a DFT calculation (PBE) of crystalline Dy3Y3Tl2 at its relaxed geometry.

Geometry as POSCAR:
```
Dy3Y3Tl2
1.0
2.5761 -5.9761 0.0000
2.5761 5.9761 0.0000
0.0000 0.0000 15.9831
Dy Y Tl
6 6 4
Cartesian
2.5761 5.3875 11.9874
2.5761 4.3167 0.5070
2.5761 4.3167 7.4845
2.5761 -4.3167 8.4986
2.5761 -4.3167 15.4761
2.5761 -5.3875 3.9958
2.5761 3.1918 3.9958
2.5761 0.4794 1.6812
2.5761 0.4794 6.3103
2.5761 -0.4794 9.6728
2.5761 -0.4794 14.3019
2.5761 -3.1918 11.9874
2.5761 2.7232 10.1727
2.5761 2.7232 13.8021
2.5761 -2.7232 2.1811
2.5761 -2.7232 5.8105
```

Results
calculated density = 7.848 Mg/m³
magnetic moment = 0.000 μB/f.u.

***

Entry ii
The following is a DFT calculation (PBE) of crystalline Dy3Y3Tl2 at its relaxed geometry.

Geometry as POSCAR:
```
Dy3Y3Tl2
1.0
4.8587 0.0000 0.0000
0.0000 4.8797 0.0000
0.0000 0.0000 9.6820
Dy Y Tl
3 3 2
Cartesian
0.0000 0.0000 0.0000
2.4294 0.0000 2.4074
2.4294 0.0000 7.2747
0.0000 0.0000 4.8410
2.4294 2.4399 0.0000
2.4294 2.4399 4.8410
0.0000 2.4399 2.4224
0.0000 2.4399 7.2597
```

Results
calculated density = 8.413 Mg/m³
magnetic moment = 2.196 μB/f.u.

***

Relative energies with respect to the most stable structure, expressed in meV per atom: entry i 81; entry ii 0.

***

Entry i
The following is a DFT calculation (PBE) of crystalline Dy3Y2Tl at its relaxed geometry.

Geometry as POSCAR:
```
Dy3Y2Tl
1.0
-2.8850 3.2086 5.0908
2.8850 -3.2086 5.0908
2.8850 3.2086 -5.0908
Dy Y Tl
3 2 1
Cartesian
0.0000 0.0000 0.0000
0.0000 0.0000 3.5303
0.0000 0.0000 6.6514
2.8850 0.0000 1.8883
0.0000 3.2086 3.2026
0.0000 3.2086 0.0000
```

Results
calculated density = 7.661 Mg/m³
magnetic moment = 0.002 μB/f.u.

***

Entry ii
The following is a DFT calculation (PBE) of crystalline Dy3Y2Tl at its relaxed geometry.

Geometry as POSCAR:
```
Dy3Y2Tl
1.0
2.4318 -7.5722 0.0000
2.4318 7.5722 0.0000
0.0000 0.0000 4.8908
Dy Y Tl
3 2 1
Cartesian
0.0000 0.0000 0.0000
2.4318 2.5632 0.0000
2.4318 -2.5632 0.0000
2.4318 5.1287 2.4454
2.4318 -5.1287 2.4454
2.4318 0.0000 2.4454
```

Results
calculated density = 8.018 Mg/m³
magnetic moment = 0.000 μB/f.u.

***

Relative energies with respect to the most stable structure, expressed in meV per atom: entry i 349; entry ii 0.